# Hf2ReP

A geometry-optimized Hf2ReP structure (PBE, Alexandria).

- space-group type = I-42d, No. 122
- formation enthalpy at 0 K (meV/atom) = 100.8

```
Hf2ReP
1.0
-3.5738 3.5738 2.9269
3.5738 -3.5738 2.9269
3.5738 3.5738 -2.9269
Hf Re P
4 2 2
direct
0.1084 0.1250 0.4834 Hf
0.3750 0.8916 0.0166 Hf
0.6416 0.6250 0.5166 Hf
0.8750 0.3584 0.9834 Hf
0.2500 0.7500 0.5000 Re
0.5000 0.5000 0.0000 Re
0.0000 0.0000 0.0000 P
0.7500 0.2500 0.5000 P
```

---

# CrTe4Pt

A geometry-optimized CrTe4Pt structure (PBE, Alexandria).

- uncorrected formation energy (eV/atom) = -0.283
- space-group type = P2/m, No. 10

```
CrTe4Pt
1.0
5.6820 0.0000 0.0000
0.0000 4.0262 0.0000
-0.0053 0.0000 6.8992
Cr Te Pt
1 4 1
direct
0.0000 0.0000 0.0000 Cr
0.2471 0.0000 0.6653 Te
0.2567 0.5000 0.1626 Te
0.7433 0.5000 0.8374 Te
0.7529 0.0000 0.3347 Te
0.0000 0.5000 0.5000 Pt
```

---

# Ca2CrIr2

A geometry-optimized Ca2CrIr2 structure (PBE, Alexandria).

- space-group type = P4/mbm, No. 127
- formation enthalpy at 0 K (meV/atom) = -113.0

```
Ca2CrIr2
1.0
6.6713 0.0000 0.0000
0.0000 6.6713 0.0000
0.0000 0.0000 4.6346
Ca Cr Ir
4 2 4
direct
0.1749 0.3251 0.0000 Ca
0.3251 0.8251 0.0000 Ca
0.6749 0.1749 0.0000 Ca
0.8251 0.6749 0.0000 Ca
0.0000 0.0000 0.5000 Cr
0.5000 0.5000 0.5000 Cr
0.1323 0.6323 0.5000 Ir
0.3677 0.1323 0.5000 Ir
0.6323 0.8677 0.5000 Ir
0.8677 0.3677 0.5000 Ir
```

---

# In2HPb2

A geometry-optimized In2HPb2 structure (PBE, Alexandria).

- space-group type = P4/mbm, No. 127
- energy (eV/atom) = -3.011

```
In2HPb2
1.0
6.6034 0.0000 0.0000
0.0000 6.6034 0.0000
0.0000 0.0000 5.8585
In H Pb
4 2 4
direct
0.1718 0.3282 0.0000 In
0.3282 0.8282 0.0000 In
0.6718 0.1718 0.0000 In
0.8282 0.6718 0.0000 In
0.0000 0.0000 0.5000 H
0.5000 0.5000 0.5000 H
0.1799 0.6799 0.5000 Pb
0.3201 0.1799 0.5000 Pb
0.6799 0.8201 0.5000 Pb
0.8201 0.3201 0.5000 Pb
```

---

# Dy6Te3C2Se

A geometry-optimized Dy6Te3C2Se structure (PBE, Alexandria).

- uncorrected formation energy (eV/atom) = -1.135
- space-group type = C2/m, No. 12

```
Dy6Te3C2Se
1.0
9.0317 -1.9660 0.0000
9.0317 1.9660 0.0000
-2.3175 0.0000 8.0564
Dy Te C Se
6 3 2 1
direct
0.0307 0.0307 0.2568 Dy
0.3182 0.3182 0.4482 Dy
0.3271 0.3271 0.8604 Dy
0.6729 0.6729 0.1396 Dy
0.6818 0.6818 0.5518 Dy
0.9693 0.9693 0.7432 Dy
0.1573 0.1573 0.8333 Te
0.5000 0.5000 0.5000 Te
0.8427 0.8427 0.1667 Te
0.1708 0.1708 0.3362 C
0.8292 0.8292 0.6639 C
0.5000 0.5000 0.0000 Se
```

---

# Pr5Pu2Ge4

A geometry-optimized Pr5Pu2Ge4 structure (PBE, Alexandria).

- space-group type = C2/m, No. 12
- formation enthalpy at 0 K (meV/atom) = -212.2

```
Pr5Pu2Ge4
1.0
12.9990 -1.8039 0.0000
12.9990 1.8039 0.0000
-0.1540 0.0000 7.0908
Pr Pu Ge
5 2 4
direct
0.0000 0.0000 0.0000 Pr
0.2711 0.2711 0.7518 Pr
0.3674 0.3674 0.1827 Pr
0.6326 0.6326 0.8173 Pr
0.7289 0.7289 0.2482 Pr
0.4076 0.4076 0.6846 Pu
0.5924 0.5924 0.3154 Pu
0.1722 0.1722 0.5122 Ge
0.4756 0.4756 0.3460 Ge
0.5244 0.5244 0.6540 Ge
0.8278 0.8278 0.4878 Ge
```

---

# CrBr3

A geometry-optimized CrBr3 structure (PBE, Alexandria).

- uncorrected formation energy (eV/atom) = 0.280
- space-group type = Im-3m, No. 229

```
CrBr3
1.0
-3.0249 3.0249 3.0249
3.0249 -3.0249 3.0249
3.0249 3.0249 -3.0249
Cr Br
1 3
direct
0.0000 0.0000 0.0000 Cr
0.0000 0.5000 0.5000 Br
0.5000 0.0000 0.5000 Br
0.5000 0.5000 0.0000 Br
```

---

# CsSc2Cl7

A geometry-optimized CsSc2Cl7 structure (PBE, Alexandria).

- uncorrected formation energy (eV/atom) = -2.021
- space-group type = Cmmm, No. 65

```
CsSc2Cl7
1.0
4.0448 -6.7410 0.0000
4.0448 6.7410 0.0000
0.0000 0.0000 5.0631
Cs Sc Cl
1 2 7
direct
0.0000 0.0000 0.0000 Cs
0.3044 0.6956 0.5000 Sc
0.6956 0.3044 0.5000 Sc
0.0443 0.3343 0.5000 Cl
0.3014 0.6986 0.0000 Cl
0.3343 0.0443 0.5000 Cl
0.5000 0.5000 0.5000 Cl
0.6657 0.9557 0.5000 Cl
0.6986 0.3014 0.0000 Cl
0.9557 0.6657 0.5000 Cl
```